Entry 1:
DFT (GGA-PBE) results for crystalline Pm3Cu2Hg3 at its relaxed geometry.

a b c (Å): 7.5654 7.5654 3.9026
angles (deg): 90.00 90.00 120.00
Positions (direct):
Pm 0.0000 0.4055 0.0000
Pm 0.4055 0.0000 0.0000
Pm 0.5945 0.5945 0.0000
Cu 0.3333 0.6667 0.5000
Cu 0.6667 0.3333 0.5000
Hg 0.0000 0.7546 0.5000
Hg 0.2454 0.2454 0.5000
Hg 0.7546 0.0000 0.5000

Summary:
Size of the total moment, μB/f.u.: 0.00
E_tot, eV/atom: -3.257
ΔE to the lowest computed polymorph, eV per atom: 0.000
Energy of formation from the pure elements, eV/atom: -0.338

Entry 2:
DFT (GGA-PBE) results for crystalline YTi3Tc at its relaxed geometry.

a b c (Å): 4.7806 4.7806 4.7806
angles (deg): 90.00 90.00 90.00
Positions (direct):
Y 0.0000 0.0000 0.0000
Ti 0.0000 0.5000 0.5000
Ti 0.5000 0.0000 0.5000
Ti 0.5000 0.5000 0.0000
Tc 0.5000 0.5000 0.5000

Summary:
Size of the total moment, μB/f.u.: 0.06
E_tot, eV/atom: -7.866
ΔE to the lowest computed polymorph, eV per atom: 0.000
Energy of formation from the pure elements, eV/atom: 0.237

Entry 3:
DFT (GGA-PBE) results for crystalline CaNdSn2Pd5 at its relaxed geometry.

a b c (Å): 4.4949 4.4949 9.3935
angles (deg): 90.00 90.00 90.00
Positions (direct):
Ca 0.0000 0.0000 0.0000
Nd 0.0000 0.0000 0.5000
Sn 0.5000 0.5000 0.1507
Sn 0.5000 0.5000 0.8493
Pd 0.0000 0.5000 0.2941
Pd 0.0000 0.5000 0.7059
Pd 0.5000 0.0000 0.2941
Pd 0.5000 0.0000 0.7059
Pd 0.5000 0.5000 0.5000

Summary:
Size of the total moment, μB/f.u.: 0.00
E_tot, eV/atom: -5.205
Energy of formation from the pure elements, eV/atom: -0.679

Entry 4:
DFT (GGA-PBE) results for crystalline La2ScRu at its relaxed geometry.

a b c (Å): 5.1756 5.1756 3.7946
angles (deg): 90.00 90.00 90.00
Positions (direct):
La 0.0000 0.5000 0.0000
La 0.5000 0.0000 0.0000
Sc 0.0000 0.0000 0.5000
Ru 0.5000 0.5000 0.5000

Summary:
Size of the total moment, μB/f.u.: 0.00
E_tot, eV/atom: -6.277
ΔE to the lowest computed polymorph, eV per atom: 0.225
Energy of formation from the pure elements, eV/atom: 0.089

Entry 5:
DFT (GGA-PBE) results for crystalline Tm4BAsS2 at its relaxed geometry.

a b c (Å): 5.4857 5.4857 11.0830
angles (deg): 90.00 90.00 90.00
Positions (direct):
Tm 0.0000 0.0000 0.2306
Tm 0.0000 0.0000 0.7694
Tm 0.0000 0.5000 0.5016
Tm 0.0000 0.5000 0.9984
Tm 0.5000 0.0000 0.0016
Tm 0.5000 0.0000 0.4984
Tm 0.5000 0.5000 0.2694
Tm 0.5000 0.5000 0.7306
B 0.0000 0.0000 0.0000
B 0.5000 0.5000 0.5000
As 0.0000 0.5000 0.2500
As 0.5000 0.0000 0.7500
S 0.0000 0.0000 0.5000
S 0.0000 0.5000 0.7500
S 0.5000 0.0000 0.2500
S 0.5000 0.5000 0.0000

Summary:
Size of the total moment, μB/f.u.: 0.00
E_tot, eV/atom: -6.101
Formation energy without anion corrections, eV/atom: -1.4178

Entry 6:
DFT (GGA-PBE) results for crystalline Ce2Ga7Au at its relaxed geometry.

a b c (Å): 4.3962 4.3962 10.4307
angles (deg): 90.00 90.00 90.00
Positions (direct):
Ce 0.0000 0.5000 0.2489
Ce 0.5000 0.0000 0.7511
Ga 0.0000 0.0000 0.0000
Ga 0.0000 0.0000 0.5000
Ga 0.0000 0.5000 0.6325
Ga 0.0000 0.5000 0.8659
Ga 0.5000 0.0000 0.1341
Ga 0.5000 0.0000 0.3675
Ga 0.5000 0.5000 0.5000
Au 0.5000 0.5000 0.0000

Summary:
Size of the total moment, μB/f.u.: 1.74
E_tot, eV/atom: -4.104
Energy of formation from the pure elements, eV/atom: -0.470

Entry 7:
DFT (GGA-PBE) results for crystalline Pm7ErMg2 at its relaxed geometry.

a b c (Å): 9.4355 9.4355 5.3125
angles (deg): 90.00 90.00 124.14
Positions (direct):
Pm 0.0000 0.0000 0.0000
Pm 0.2029 0.4299 0.0000
Pm 0.2886 0.7114 0.5000
Pm 0.4299 0.2029 0.0000
Pm 0.5701 0.7971 0.0000
Pm 0.7114 0.2886 0.5000
Pm 0.7971 0.5701 0.0000
Er 0.5000 0.5000 0.5000
Mg 0.2015 0.7985 0.0000
Mg 0.7985 0.2015 0.0000

Summary:
Size of the total moment, μB/f.u.: 0.00
E_tot, eV/atom: -3.572
Energy of formation from the pure elements, eV/atom: 0.529

Entry 8:
DFT (GGA-PBE) results for crystalline LaGdMg at its relaxed geometry.

a b c (Å): 5.5620 5.5620 3.4667
angles (deg): 90.00 90.00 120.00
Positions (direct):
La 0.0000 0.0000 0.0000
Gd 0.3333 0.6667 0.5882
Mg 0.6667 0.3333 0.3318

Summary:
Size of the total moment, μB/f.u.: 7.46
E_tot, eV/atom: -6.847
ΔE to the lowest computed polymorph, eV per atom: 0.085
Energy of formation from the pure elements, eV/atom: 0.021

Entry 9:
DFT (GGA-PBE) results for crystalline Mg7Si4 at its relaxed geometry.

a b c (Å): 8.9046 3.6412 14.2110
angles (deg): 90.00 96.97 90.00
Positions (direct):
Mg 0.0000 0.0000 0.0000
Mg 0.0180 0.0000 0.7832
Mg 0.0507 0.5000 0.5967
Mg 0.1818 0.0000 0.4579
Mg 0.2740 0.5000 0.9547
Mg 0.3152 0.5000 0.3180
Mg 0.3498 0.0000 0.1440
Mg 0.4643 0.0000 0.8322
Mg 0.4874 0.5000 0.5189
Mg 0.5952 0.0000 0.3335
Mg 0.6052 0.0000 0.0272
Mg 0.7594 0.5000 0.8762
Mg 0.7911 0.0000 0.5247
Mg 0.9023 0.5000 0.3625
Si 0.0798 0.0000 0.2581
Si 0.1134 0.5000 0.1467
Si 0.2587 0.5000 0.7472
Si 0.3275 0.0000 0.6455
Si 0.6075 0.0000 0.6749
Si 0.7808 0.5000 0.6783
Si 0.7969 0.0000 0.2044
Si 0.8244 0.5000 0.0966

Summary:
Size of the total moment, μB/f.u.: 0.00
E_tot, eV/atom: -2.907
ΔE to the lowest computed polymorph, eV per atom: 0.064
Formation energy without anion corrections, eV/atom: 0.0800

Entry 10:
DFT (GGA-PBE) results for crystalline CsOF3 at its relaxed geometry.

a b c (Å): 3.9635 6.0359 8.3397
angles (deg): 90.00 90.00 90.00
Positions (direct):
Cs 0.0000 0.0000 0.0000
Cs 0.0000 0.5000 0.5000
O 0.5000 0.0000 0.6769
O 0.5000 0.5000 0.1769
F 0.0000 0.0000 0.6383
F 0.0000 0.5000 0.1383
F 0.5000 0.2265 0.2225
F 0.5000 0.2735 0.7225
F 0.5000 0.7265 0.7225
F 0.5000 0.7735 0.2225

Summary:
Size of the total moment, μB/f.u.: 0.55
E_tot, eV/atom: -3.182
ΔE to the lowest computed polymorph, eV per atom: 0.322
Formation energy without anion corrections, eV/atom: -0.8968

Entry 11:
DFT (GGA-PBE) results for crystalline FeMo2Rh6 at its relaxed geometry.

a b c (Å): 6.0338 6.0338 6.1158
angles (deg): 107.10 107.10 37.22
Positions (direct):
Fe 0.0000 0.0000 0.0000
Mo 0.4423 0.4423 0.6731
Mo 0.5577 0.5577 0.3269
Rh 0.1055 0.1055 0.6681
Rh 0.2165 0.2165 0.3329
Rh 0.3379 0.3379 0.9973
Rh 0.6621 0.6621 0.0027
Rh 0.7835 0.7835 0.6671
Rh 0.8945 0.8945 0.3319

Summary:
Size of the total moment, μB/f.u.: 2.01
E_tot, eV/atom: -8.381
Energy of formation from the pure elements, eV/atom: -0.132

Entry 12:
DFT (GGA-PBE) results for crystalline Ba2CdCu at its relaxed geometry.

a b c (Å): 3.9705 3.9705 9.2196
angles (deg): 90.00 90.00 90.00
Positions (direct):
Ba 0.0000 0.0000 0.0000
Ba 0.5000 0.5000 0.4099
Cd 0.0000 0.0000 0.6432
Cu 0.5000 0.5000 0.7772

Summary:
Size of the total moment, μB/f.u.: 0.00
E_tot, eV/atom: -2.215
Energy of formation from the pure elements, eV/atom: -0.001

Question: Which of these has the lowest E_tot?
Answer: FeMo2Rh6